Below is a relaxed PuTlAgSe3 crystal, with properties calculated at the PBE level.

Cell lengths 4.218, 8.888, 9.580 Å; angles 106.12, 90.00, 90.00 degrees
Each line ends with the local moment (μB).
Fractional coordinates of all 12 atoms:
Se (0.750, 0.457, 0.153)  -0.19
Se (0.750, 0.877, 0.119)  -0.16
Se (0.250, 0.543, 0.847)  -0.19
Se (0.750, 0.242, 0.540)  -0.16
Se (0.250, 0.123, 0.881)  -0.16
Se (0.250, 0.758, 0.460)  -0.16
Ag (0.250, 0.079, 0.596)  -0.06
Ag (0.750, 0.921, 0.404)  -0.06
Pu (0.750, 0.324, 0.845)  4.75
Pu (0.250, 0.676, 0.155)  4.75
Tl (0.250, 0.200, 0.244)  -0.02
Tl (0.750, 0.800, 0.756)  -0.02

Values from the calculation:
Uncorrected formation energy: -0.786 eV per atom
DOS(E_F): 1.71 states/eV/atom

***

Below is a relaxed LiZn2Ga2 crystal, with properties calculated at the PBE level.

Cell lengths 5.500, 6.234, 6.964 Å; angles 63.62, 64.58, 54.68 degrees
Fractional coordinates of all 10 atoms:
Ga (0.254, 0.949, 0.045)
Ga (0.746, 0.051, 0.955)
Ga (0.758, 0.258, 0.535)
Ga (0.242, 0.742, 0.465)
Zn (0.416, 0.622, 0.805)
Zn (0.584, 0.378, 0.195)
Zn (0.140, 0.351, 0.172)
Zn (0.860, 0.649, 0.828)
Li (0.772, 0.782, 0.391)
Li (0.228, 0.218, 0.609)

Values from the calculation:
Excess energy over the best structure of this formula in the dataset: 0.025 eV per atom
DOS(E_F): 0.26 states/eV/atom

***

Below is a relaxed Pm6Y12In crystal, with properties calculated at the PBE level.

Cell lengths 8.690, 8.690, 8.690 Å; angles 97.24, 97.24, 97.24 degrees
Fractional coordinates of all 19 atoms:
Pm (0.135, 0.407, 0.134)
Pm (0.865, 0.593, 0.866)
Pm (0.407, 0.134, 0.135)
Pm (0.134, 0.135, 0.407)
Pm (0.866, 0.865, 0.593)
Pm (0.593, 0.866, 0.865)
Y (0.169, 0.586, 0.586)
Y (0.741, 0.259, 0.000)
Y (0.000, 0.259, 0.741)
Y (0.414, 0.831, 0.414)
Y (0.586, 0.169, 0.586)
Y (0.741, 0.000, 0.259)
Y (0.831, 0.414, 0.414)
Y (0.000, 0.741, 0.259)
Y (0.259, 0.741, 0.000)
Y (0.259, 0.000, 0.741)
Y (0.414, 0.414, 0.831)
Y (0.586, 0.586, 0.169)
In (0.000, 0.000, 0.000)

Values from the calculation:
Excess energy over the best structure of this formula in the dataset: 0.032 eV per atom
DOS(E_F): 1.84 states/eV/atom

***

Below is a relaxed NaTl2PRu crystal, with properties calculated at the PBE level.

Cell lengths 5.342, 4.838, 5.342 Å; angles 90.00, 90.00, 90.00 degrees
Each line ends with the local moment (μB).
Fractional coordinates of all 5 atoms:
Tl (0.000, 0.000, 0.500)  -0.01
Tl (0.500, 0.000, 0.000)  -0.01
P (0.000, 0.500, 0.000)  -0.01
Na (0.000, 0.000, 0.000)  0.00
Ru (0.500, 0.500, 0.500)  2.32

Values from the calculation:
E: -2.815 eV per atom
DOS(E_F): 1.28 states/eV/atom

***

Below is a relaxed K2HfZr2S6 crystal, with properties calculated at the PBE level.

Cell lengths 6.372, 6.372, 7.962 Å; angles 97.80, 97.80, 119.93 degrees
Fractional coordinates of all 11 atoms:
S (0.263, 0.263, 0.304)
S (0.068, 0.395, 0.697)
S (0.737, 0.737, 0.696)
S (0.932, 0.605, 0.303)
S (0.395, 0.068, 0.697)
S (0.605, 0.932, 0.303)
K (0.832, 0.168, 0.000)
K (0.168, 0.832, 0.000)
Zr (0.333, 0.667, 0.500)
Zr (0.667, 0.333, 0.500)
Hf (0.000, 0.000, 0.500)

Values from the calculation:
Uncorrected formation energy: -1.574 eV per atom
DOS(E_F): 0.53 states/eV/atom

***

Below is a relaxed CrIn2As crystal, with properties calculated at the PBE level.

Cell lengths 8.242, 8.242, 8.242 Å; angles 25.44, 25.44, 25.44 degrees
Each line ends with the local moment (μB).
Fractional coordinates of all 4 atoms:
In (0.997, 0.997, 0.997)  -0.03
In (0.503, 0.503, 0.503)  -0.03
As (0.250, 0.250, 0.250)  0.00
Cr (0.750, 0.750, 0.750)  3.77

Values from the calculation:
E: -4.580 eV per atom
DOS(E_F): 0.39 states/eV/atom